Arrangement a

This record from Alexandria via LeMat-Bulk describes an optimized crystal structure of LaHgTeN2. The functional is GGA-PBE.

a b c (Å): 4.534 4.534 5.461
angles (deg): 90.00 90.00 90.00
Space group P4/mmm (No. 123)
One atom of each set of equivalent atoms:
La  0.000  0.000  0.000 [1 per cell]
Hg  0.500  0.500  0.500 [1 per cell]
Te  0.500  0.500  0.000 [1 per cell]
N  0.000  0.500  0.500 [2 per cell]

Arrangement b

This record from Alexandria via LeMat-Bulk describes an optimized crystal structure of LaHgTeN2. The functional is GGA-PBE.

a b c (Å): 4.330 4.330 7.054
angles (deg): 90.00 90.00 90.00
Space group P4/mmm (No. 123)
One atom of each set of equivalent atoms:
La  0.000  0.000  0.000 [1 per cell]
Hg  0.500  0.500  0.500 [1 per cell]
Te  0.000  0.000  0.500 [1 per cell]
N  0.000  0.500  0.000 [2 per cell]

Stability summary - winner: arrangement b; margin: 0.311 eV/atom.

Arrangement a

This record from Alexandria via LeMat-Bulk describes an optimized crystal structure of NaLaHg2. The functional is GGA-PBE.

a b c (Å): 4.3604 4.3604 22.7930
angles (deg): 90.00 90.00 120.00
Space group R-3m (No. 166, hexagonal axes)
One atom of each set of equivalent atoms:
Na  0.0000  0.0000  0.0000 [3 per cell]
La  0.0000  0.0000  0.5000 [3 per cell]
Hg  0.0000  0.0000  0.2555 [6 per cell]

Arrangement b

This record from Alexandria via LeMat-Bulk describes an optimized crystal structure of NaLaHg2. The functional is GGA-PBE.

a b c (Å): 5.504 5.504 3.722
angles (deg): 90.00 90.00 90.00
Space group P4/mmm (No. 123)
One atom of each set of equivalent atoms:
Na  0.000  0.000  0.000 [1 per cell]
La  0.500  0.500  0.000 [1 per cell]
Hg  0.000  0.500  0.500 [2 per cell]

Stability summary - winner: arrangement b; margin: 0.137 eV/atom.

Arrangement a

This record from Alexandria via LeMat-Bulk describes an optimized crystal structure of NaLaHg2. The functional is GGA-PBE.

a b c (Å): 7.577 7.577 7.577
angles (deg): 90.00 90.00 90.00
Space group Fm-3m (No. 225)
One atom of each set of equivalent atoms:
Na  0.000  0.000  0.000 [4 per cell]
La  0.000  0.000  0.500 [4 per cell]
Hg  0.250  0.250  0.250 [8 per cell]

Arrangement b

This record from Alexandria via LeMat-Bulk describes an optimized crystal structure of NaLaHg2. The functional is GGA-PBE.

a b c (Å): 3.8633 3.8633 28.2857
angles (deg): 90.00 90.00 120.00
Space group R3m (No. 160, hexagonal axes)
One atom of each set of equivalent atoms:
Na  0.0000  0.0000  0.0000 [3 per cell]
La  0.0000  0.0000  0.8328 [3 per cell]
Hg  0.0000  0.0000  0.2514 [3 per cell]
Hg  0.0000  0.0000  0.4145 [3 per cell]

Stability summary - winner: arrangement a; margin: 0.179 eV/atom.

Arrangement a

This record from Alexandria via LeMat-Bulk describes an optimized crystal structure of Na2LaHg2. The functional is GGA-PBE.

a b c (Å): 8.851 8.851 3.402
angles (deg): 90.00 90.00 90.00
Space group P4/mbm (No. 127)
One atom of each set of equivalent atoms:
Na  0.115  0.385  0.000 [4 per cell]
La  0.000  0.000  0.000 [2 per cell]
Hg  0.186  0.686  0.500 [4 per cell]

Arrangement b

This record from Alexandria via LeMat-Bulk describes an optimized crystal structure of Na2LaHg2. The functional is GGA-PBE.

a b c (Å): 4.330 4.330 15.163
angles (deg): 90.00 90.00 90.00
Space group I4/mmm (No. 139)
One atom of each set of equivalent atoms:
Na  0.000  0.500  0.250 [4 per cell]
La  0.000  0.000  0.000 [2 per cell]
Hg  0.000  0.000  0.399 [4 per cell]

Arrangement c

This record from Alexandria via LeMat-Bulk describes an optimized crystal structure of Na2LaHg2. The functional is GGA-PBE.

a b c (Å): 8.244 8.244 4.401
angles (deg): 90.00 90.00 90.00
Space group P4/mbm (No. 127)
One atom of each set of equivalent atoms:
Na  0.161  0.339  0.000 [4 per cell]
La  0.000  0.000  0.500 [2 per cell]
Hg  0.131  0.631  0.500 [4 per cell]

Stability summary - winner: arrangement b; margin: 0.054 eV/atom.

Arrangement a

This record from Alexandria via LeMat-Bulk describes an optimized crystal structure of NaLa2Hg2. The functional is GGA-PBE.

a b c (Å): 9.469 9.469 3.477
angles (deg): 90.00 90.00 90.00
Space group P4/mbm (No. 127)
One atom of each set of equivalent atoms:
Na  0.000  0.000  0.000 [2 per cell]
La  0.157  0.343  0.000 [4 per cell]
Hg  0.138  0.638  0.500 [4 per cell]

Arrangement b

This record from Alexandria via LeMat-Bulk describes an optimized crystal structure of NaLa2Hg2. The functional is GGA-PBE.

a b c (Å): 4.805 4.805 14.678
angles (deg): 90.00 90.00 90.00
Space group I4/mmm (No. 139)
One atom of each set of equivalent atoms:
Na  0.000  0.000  0.000 [2 per cell]
La  0.000  0.500  0.250 [4 per cell]
Hg  0.000  0.000  0.404 [4 per cell]

Arrangement c

This record from Alexandria via LeMat-Bulk describes an optimized crystal structure of NaLa2Hg2. The functional is GGA-PBE.

a b c (Å): 4.608 4.608 16.316
angles (deg): 90.00 90.00 90.00
Space group I4/mmm (No. 139)
One atom of each set of equivalent atoms:
Na  0.000  0.000  0.000 [2 per cell]
La  0.000  0.000  0.385 [4 per cell]
Hg  0.000  0.500  0.250 [4 per cell]

Arrangement d

This record from Alexandria via LeMat-Bulk describes an optimized crystal structure of NaLa2Hg2. The functional is GGA-PBE.

a b c (Å): 8.893 8.893 3.987
angles (deg): 90.00 90.00 90.00
Space group P4/mbm (No. 127)
One atom of each set of equivalent atoms:
Na  0.000  0.000  0.000 [2 per cell]
La  0.159  0.341  0.500 [4 per cell]
Hg  0.137  0.637  0.000 [4 per cell]

Stability summary - winner: arrangement d; margin: 0.085 eV/atom.

Arrangement a

This record from Alexandria via LeMat-Bulk describes an optimized crystal structure of NaLa2HgRh. The functional is GGA-PBE.

a b c (Å): 5.473 5.473 5.448
angles (deg): 90.00 90.00 90.00
Space group P4/mmm (No. 123)
One atom of each set of equivalent atoms:
Na  0.000  0.000  0.000 [1 per cell]
La  0.000  0.500  0.500 [2 per cell]
Hg  0.500  0.500  0.000 [1 per cell]
Rh  0.500  0.500  0.500 [1 per cell]

Arrangement b

This record from Alexandria via LeMat-Bulk describes an optimized crystal structure of NaLa2HgRh. The functional is GGA-PBE.

a b c (Å): 5.867 5.867 5.044
angles (deg): 90.00 90.00 90.00
Space group P4/mmm (No. 123)
One atom of each set of equivalent atoms:
Na  0.000  0.000  0.000 [1 per cell]
La  0.000  0.500  0.500 [2 per cell]
Hg  0.000  0.000  0.500 [1 per cell]
Rh  0.500  0.500  0.000 [1 per cell]

Stability summary - winner: arrangement a; margin: 0.827 eV/atom.

Arrangement a

This record from Alexandria via LeMat-Bulk describes an optimized crystal structure of LaNb2Hg2. The functional is GGA-PBE.

a b c (Å): 4.623 4.623 11.695
angles (deg): 90.00 90.00 90.00
Space group I4/mmm (No. 139)
One atom of each set of equivalent atoms:
La  0.000  0.000  0.000 [2 per cell]
Nb  0.000  0.000  0.399 [4 per cell]
Hg  0.000  0.500  0.250 [4 per cell]

Arrangement b

This record from Alexandria via LeMat-Bulk describes an optimized crystal structure of LaNb2Hg2. The functional is GGA-PBE.

a b c (Å): 8.545 8.545 3.102
angles (deg): 90.00 90.00 90.00
Space group P4/mbm (No. 127)
One atom of each set of equivalent atoms:
La  0.000  0.000  0.000 [2 per cell]
Nb  0.109  0.391  0.000 [4 per cell]
Hg  0.183  0.683  0.500 [4 per cell]

Stability summary - winner: arrangement b; margin: 0.126 eV/atom.

Arrangement a

This record from Alexandria via LeMat-Bulk describes an optimized crystal structure of LaNd6Hg2. The functional is GGA-PBE.

a b c (Å): 15.884 11.647 6.251
angles (deg): 90.00 95.91 90.00
Space group C2/c (No. 15)
One atom of each set of equivalent atoms:
La  0.000  0.107  0.250 [4 per cell]
Nd  0.059  0.383  0.505 [8 per cell]
Nd  0.118  0.152  0.808 [8 per cell]
Nd  0.229  0.123  0.331 [8 per cell]
Hg  0.166  0.372  0.098 [8 per cell]

Arrangement b

This record from Alexandria via LeMat-Bulk describes an optimized crystal structure of LaNd6Hg2. The functional is GGA-PBE.

a b c (Å): 13.052 3.842 12.353
angles (deg): 90.00 108.41 90.00
Space group C2/m (No. 12)
One atom of each set of equivalent atoms:
La  0.000  0.000  0.000 [2 per cell]
Nd  0.020  0.000  0.338 [4 per cell]
Nd  0.186  0.500  0.875 [4 per cell]
Nd  0.188  0.500  0.587 [4 per cell]
Hg  0.147  0.500  0.208 [4 per cell]

Stability summary - winner: arrangement b; margin: 0.066 eV/atom.